Compound: CaAcEuGa
Source: the Alexandria database
Functional: PBE
Structure: relaxed

Summary:
E_form: -0.090 eV per atom
Total magnetization: 1.858 μB per atom

Unit cell a=8.1177 b=8.1177 c=8.1177 alpha=90.00 beta=90.00 gamma=90.00
Closest atoms and distances in Å follow each position.
Space group F-43m (No. 216)
One atom of each set of equivalent atoms:
1 Ca 0.0000 0.0000 0.0000  4 Ac 3.52, 4 Eu 3.52
2 Ac 0.2500 0.2500 0.2500  4 Ca 3.52, 4 Ga 3.52
3 Eu 0.2500 0.2500 0.7500  4 Ca 3.52, 4 Ga 3.52
4 Ga 0.0000 0.0000 0.5000  4 Ac 3.52, 4 Eu 3.52

=====

Compound: Tb3NdSe4
Source: the Alexandria database
Functional: PBE
Structure: relaxed

Summary:
Energy relative to the elements, uncorrected: -41.25 kcal/mol of atoms
Offset from the most stable computed form: 0 kJ/mol of formula units
Total magnetization: 0.000 μB per atom

Unit cell a=4.1191 b=4.1191 c=40.6840 alpha=90.00 beta=90.00 gamma=120.00
Closest atoms and distances in Å follow each position.
Space group R-3m (No. 166, hexagonal axes)
One atom of each set of equivalent atoms:
1 Tb 0.0000 0.0000 0.0000  6 Se 2.90
2 Tb 0.0000 0.0000 0.2513  6 Se 2.88-2.91
3 Nd 0.0000 0.0000 0.5000  6 Se 2.99
4 Se 0.0000 0.0000 0.1221  3 Tb 2.88, 3 Nd 2.99
5 Se 0.0000 0.0000 0.3742  6 Tb 2.90-2.91

=====

Compound: Dy6Sc
Source: the Alexandria database
Functional: PBE
Structure: relaxed

Summary:
E_form: 0.309 eV per atom
Total magnetization: 0.000 μB per atom

Unit cell a=6.3546 b=6.3546 c=11.0487 alpha=90.00 beta=90.00 gamma=90.00
Closest atoms and distances in Å follow each position.
Space group P4/nbm (No. 125, origin choice 2)
One atom of each set of equivalent atoms:
1 Dy 0.0812 0.5812 0.1379  6 Dy 3.03-3.38
2 Dy 0.2500 0.2500 0.3632  1 Dy 3.02
3 Sc 0.2500 0.7500 0.5000  8 Dy 3.52

=====

Compound: Er2ReO6
Source: the Alexandria database
Functional: PBE
Structure: relaxed

Summary:
Energy relative to the elements, uncorrected: -61.23 kcal/mol of atoms
Total magnetization: 0.112 μB per atom

Unit cell a=5.4178 b=5.6490 c=9.0840 alpha=90.00 beta=119.46 gamma=90.00
Closest atoms and distances in Å follow each position.
Space group P2_1/c (No. 14)
One atom of each set of equivalent atoms:
1 Er 0.1876 0.0839 0.2295  6 O 2.23-2.47
2 Re 0.5000 0.0000 0.0000  6 O 1.92-1.97
3 O 0.1546 0.1782 0.9472  1 Re 1.97
4 O 0.2547 0.7309 0.8973  1 Re 1.93
5 O 0.4543 0.0902 0.7838  1 Re 1.92

=====

Compound: ThPbAu2
Source: the Alexandria database
Functional: PBE
Structure: relaxed

Summary:
E_form: -0.532 eV per atom
Total magnetization: 0.000 μB per atom

Unit cell a=7.2890 b=7.2890 c=7.2890 alpha=90.00 beta=90.00 gamma=90.00
Closest atoms and distances in Å follow each position.
Space group Fm-3m (No. 225)
One atom of each set of equivalent atoms:
1 Th 0.0000 0.0000 0.0000  8 Au 3.16
2 Pb 0.0000 0.0000 0.5000  8 Au 3.16
3 Au 0.2500 0.2500 0.2500  4 Pb 3.16, 4 Th 3.16

=====

Compound: Ho2Si3
Source: the Alexandria database
Functional: PBE
Structure: relaxed

Summary:
Energy relative to the elements, uncorrected: -14.06 kcal/mol of atoms
Offset from the most stable computed form: 34 kJ/mol of formula units
Total magnetization: 0.000 μB per atom

Unit cell a=3.8475 b=3.9963 c=13.6914 alpha=90.00 beta=90.00 gamma=90.00
Closest atoms and distances in Å follow each position.
Space group Imm2 (No. 44)
One atom of each set of equivalent atoms:
1 Ho 0.0000 0.0000 0.0000  10 Si 2.95-3.14
2 Ho 0.0000 0.5000 0.2554  8 Si 2.91-3.07
3 Si 0.0000 0.0000 0.4256  3 Si 2.33-2.38
4 Si 0.0000 0.0000 0.5958  1 Si 2.33
5 Si 0.0000 0.5000 0.8232  2 Si 2.38